DFT (PBE+U) results for crystalline MnCrO2 at its relaxed geometry.

```
MnCrO2
1.0
-2.1520 2.5061 4.3226
2.1520 -2.5061 4.3226
2.1520 2.5061 -4.3226
Mn Cr O
2 2 4
Cartesian
0.0000 1.2530 1.0916
2.1520 1.2530 3.2310
2.1520 1.2530 -1.0770
0.0000 1.2530 5.3996
2.1520 -1.2530 3.1965
2.1520 1.2530 1.0328
0.0000 1.2530 3.2899
0.0000 3.7591 1.1261
```

Computed properties:
N(E_F) in states/eV/cell: 1.2
Magnetic moment in Bohr magnetons per cell: 18.0
Polymorph energy (0 for the lowest one) in meV/atom: 0.0
V in Å³ per atom: 11.66